Entry 1:
The following is a DFT calculation (GGA-PBE) of an optimized crystal structure of Al2BSb.

Output
The energy above the most stable polymorph in this dataset comes out at 0 meV per atom. For the total energy, the calculation gives -4.22 eV/atom. Its density of states at the Fermi level is 0.4047 states/eV per atom. The calculation puts the formation energy without anion corrections at 136.6 kJ/mol of formula units.

Cell: 5.074 5.074 12.656 Å, 90.00 90.00 90.00°
Element x y z (fractional)
Al 0.139 0.250 0.125
Al 0.250 0.639 0.375
Al 0.250 0.861 0.875
Al 0.361 0.250 0.625
Al 0.639 0.750 0.625
Al 0.750 0.139 0.875
Al 0.750 0.361 0.375
Al 0.861 0.750 0.125
B 0.000 0.000 0.000
B 0.000 0.500 0.250
B 0.500 0.000 0.750
B 0.500 0.500 0.500
Sb 0.000 0.000 0.500
Sb 0.000 0.500 0.750
Sb 0.500 0.000 0.250
Sb 0.500 0.500 0.000

***

Entry 2:
The following is a DFT calculation (GGA-PBE) of an optimized crystal structure of TaAlBSb2.

Output
For the total energy, the calculation gives -5.32 eV/atom. Its density of states at the Fermi level is 0.7670 states/eV per atom. The calculation puts the formation energy without anion corrections at 376.8 kJ/mol of formula units.

Cell: 4.981 4.981 3.861 Å, 90.00 90.00 90.00°
Element x y z (fractional)
Ta 0.000 0.000 0.000
Al 0.500 0.500 0.000
B 0.500 0.500 0.500
Sb 0.000 0.500 0.500
Sb 0.500 0.000 0.500

***

Entry 3:
The following is a DFT calculation (GGA-PBE) of an optimized crystal structure of ScAl2B6.

Output
For the total energy, the calculation gives -6.31 eV/atom. Its density of states at the Fermi level is 0.1676 states/eV per atom. The formation energy is -0.321 eV per atom.

Cell: 5.271 5.271 3.377 Å, 90.00 90.00 120.00°
Element x y z (fractional)
Sc 0.000 0.000 0.000
Al 0.333 0.667 0.000
Al 0.667 0.333 0.000
B 0.000 0.335 0.500
B 0.000 0.665 0.500
B 0.335 0.000 0.500
B 0.335 0.335 0.500
B 0.665 0.000 0.500
B 0.665 0.665 0.500

***

Entry 4:
The following is a DFT calculation (GGA-PBE) of an optimized crystal structure of ScAlB4.

Output
For the total energy, the calculation gives -6.62 eV/atom. Its density of states at the Fermi level is 0.2118 states/eV per atom. The formation energy is -0.486 eV per atom.

Cell: 5.841 11.314 3.415 Å, 90.00 90.00 90.00°
Element x y z (fractional)
Sc 0.133 0.150 0.000
Sc 0.367 0.650 0.000
Sc 0.633 0.350 0.000
Sc 0.867 0.850 0.000
Al 0.140 0.410 0.000
Al 0.360 0.910 0.000
Al 0.640 0.090 0.000
Al 0.860 0.590 0.000
B 0.022 0.695 0.500
B 0.116 0.549 0.500
B 0.131 0.969 0.500
B 0.205 0.813 0.500
B 0.295 0.313 0.500
B 0.369 0.469 0.500
B 0.384 0.049 0.500
B 0.478 0.195 0.500
B 0.522 0.805 0.500
B 0.616 0.951 0.500
B 0.631 0.531 0.500
B 0.705 0.687 0.500
B 0.795 0.187 0.500
B 0.869 0.031 0.500
B 0.884 0.451 0.500
B 0.978 0.305 0.500

***

- Which value of total energy does entry 3 give?
  -6.31 eV/atom